Model i:
# AcTb2Mg

A relaxed AcTb2Mg crystal (PBE, Alexandria).

Geometry as CIF:
```
data_AcTb2Mg
_cell_length_a 5.0314
_cell_length_b 5.0314
_cell_length_c 5.2256
_cell_angle_alpha 90.00
_cell_angle_beta 90.00
_cell_angle_gamma 90.00
_symmetry_space_group_name_H-M 'P 4/m m m'
_symmetry_Int_Tables_number 123
_symmetry_space_group_name_Hall '-P 4 2'
loop_
_atom_site_label
_atom_site_fract_x
_atom_site_fract_y
_atom_site_fract_z
Ac1 0.0000 0.0000 0.0000
Tb1 0.0000 0.5000 0.5000
Mg1 0.5000 0.5000 0.0000
```

=====

Model ii:
# AcTb2Mg

A relaxed AcTb2Mg crystal (PBE, Alexandria).

Geometry as CIF:
```
data_AcTb2Mg
_cell_length_a 3.8133
_cell_length_b 3.8133
_cell_length_c 8.9862
_cell_angle_alpha 90.00
_cell_angle_beta 90.00
_cell_angle_gamma 90.00
_symmetry_space_group_name_H-M 'P 4/m m m'
_symmetry_Int_Tables_number 123
_symmetry_space_group_name_Hall '-P 4 2'
loop_
_atom_site_label
_atom_site_fract_x
_atom_site_fract_y
_atom_site_fract_z
Ac1 0.0000 0.0000 0.0000
Tb1 0.5000 0.5000 0.2907
Mg1 0.0000 0.0000 0.5000
```

=====

Model iii:
# AcTb2Mg

A relaxed AcTb2Mg crystal (PBE, Alexandria).

Geometry as CIF:
```
data_AcTb2Mg
_cell_length_a 3.6904
_cell_length_b 3.6904
_cell_length_c 34.2196
_cell_angle_alpha 90.00
_cell_angle_beta 90.00
_cell_angle_gamma 120.00
_symmetry_space_group_name_H-M 'R 3 m'
_symmetry_Int_Tables_number 160
_symmetry_space_group_name_Hall 'R 3 -2"'
loop_
_atom_site_label
_atom_site_fract_x
_atom_site_fract_y
_atom_site_fract_z
Ac1 0.0000 0.0000 0.0000
Tb1 0.0000 0.0000 0.5750
Tb2 0.0000 0.0000 0.7579
Mg1 0.0000 0.0000 0.1662
```

=====

Most stable of them? model ii.

=====

Model i:
# AcTb2Mg

A relaxed AcTb2Mg crystal (PBE, Alexandria).

Geometry as CIF:
```
data_AcTb2Mg
_cell_length_a 3.5564
_cell_length_b 3.5564
_cell_length_c 37.2216
_cell_angle_alpha 90.00
_cell_angle_beta 90.00
_cell_angle_gamma 120.00
_symmetry_space_group_name_H-M 'R -3 m'
_symmetry_Int_Tables_number 166
_symmetry_space_group_name_Hall '-R 3 2"'
loop_
_atom_site_label
_atom_site_fract_x
_atom_site_fract_y
_atom_site_fract_z
Ac1 0.0000 0.0000 0.0000
Tb1 0.0000 0.0000 0.0960
Mg1 0.0000 0.0000 0.5000
```

=====

Model ii:
# AcTb2Mg

A relaxed AcTb2Mg crystal (PBE, Alexandria).

Geometry as CIF:
```
data_AcTb2Mg
_cell_length_a 8.0705
_cell_length_b 8.0705
_cell_length_c 8.0705
_cell_angle_alpha 90.00
_cell_angle_beta 90.00
_cell_angle_gamma 90.00
_symmetry_space_group_name_H-M 'F m -3 m'
_symmetry_Int_Tables_number 225
_symmetry_space_group_name_Hall '-F 4 2 3'
loop_
_atom_site_label
_atom_site_fract_x
_atom_site_fract_y
_atom_site_fract_z
Ac1 0.0000 0.0000 0.0000
Tb1 0.2500 0.2500 0.2500
Mg1 0.0000 0.0000 0.5000
```

=====

Most stable of them? model ii.

=====

Model i:
# AcTbMg

A relaxed AcTbMg crystal (PBE, Alexandria).

Geometry as CIF:
```
data_AcTbMg
_cell_length_a 3.9338
_cell_length_b 3.9338
_cell_length_c 13.0535
_cell_angle_alpha 90.00
_cell_angle_beta 90.00
_cell_angle_gamma 90.00
_symmetry_space_group_name_H-M 'I 4 m m'
_symmetry_Int_Tables_number 107
_symmetry_space_group_name_Hall 'I 4 -2'
loop_
_atom_site_label
_atom_site_fract_x
_atom_site_fract_y
_atom_site_fract_z
Ac1 0.0000 0.0000 0.0000
Tb1 0.0000 0.0000 0.3076
Mg1 0.0000 0.0000 0.6729
```

=====

Model ii:
# AcTbMg

A relaxed AcTbMg crystal (PBE, Alexandria).

Geometry as CIF:
```
data_AcTbMg
_cell_length_a 17.7948
_cell_length_b 3.9212
_cell_length_c 5.8187
_cell_angle_alpha 90.00
_cell_angle_beta 90.02
_cell_angle_gamma 90.00
_symmetry_space_group_name_H-M 'C 1 2/m 1'
_symmetry_Int_Tables_number 12
loop_
_symmetry_equiv_pos_as_xyz
'x,y,z'
'-x,-y,-z'
'-x,y,-z'
'x,-y,z'
'x+1/2,y+1/2,z'
'-x+1/2,-y+1/2,-z'
'-x+1/2,y+1/2,-z'
'x+1/2,-y+1/2,z'
loop_
_atom_site_label
_atom_site_fract_x
_atom_site_fract_y
_atom_site_fract_z
Ac1 0.0865 0.0000 0.2492
Tb1 0.2310 0.0000 0.7499
Mg1 0.0800 0.5000 0.7490
```

=====

Most stable of them? model ii.

=====

Model i:
# AcTbMg

A relaxed AcTbMg crystal (PBE, Alexandria).

Geometry as CIF:
```
data_AcTbMg
_cell_length_a 5.6685
_cell_length_b 5.6685
_cell_length_c 3.6204
_cell_angle_alpha 90.00
_cell_angle_beta 90.00
_cell_angle_gamma 120.00
_symmetry_space_group_name_H-M 'P 3 m 1'
_symmetry_Int_Tables_number 156
loop_
_symmetry_equiv_pos_as_xyz
'x,y,z'
'-y,x-y,z'
'-x+y,-x,z'
'-y,-x,z'
'-x+y,y,z'
'x,x-y,z'
loop_
_atom_site_label
_atom_site_fract_x
_atom_site_fract_y
_atom_site_fract_z
Ac1 0.0000 0.0000 0.0000
Tb1 0.6667 0.3333 0.5452
Mg1 0.3333 0.6667 0.3993
```

=====

Model ii:
# AcTbMg

A relaxed AcTbMg crystal (PBE, Alexandria).

Geometry as CIF:
```
data_AcTbMg
_cell_length_a 9.0056
_cell_length_b 10.0648
_cell_length_c 5.5031
_cell_angle_alpha 90.00
_cell_angle_beta 90.00
_cell_angle_gamma 90.00
_symmetry_space_group_name_H-M 'C m m m'
_symmetry_Int_Tables_number 65
_symmetry_space_group_name_Hall '-C 2 2'
loop_
_atom_site_label
_atom_site_fract_x
_atom_site_fract_y
_atom_site_fract_z
Ac1 0.0000 0.1843 0.0000
Tb1 0.1718 0.5000 0.5000
Mg1 0.0000 0.0000 0.5000
Mg2 0.0000 0.5000 0.0000
```

=====

Most stable of them? model i.

=====

Model i:
# AcMgTe2

A relaxed AcMgTe2 crystal (PBE, Alexandria).

Geometry as CIF:
```
data_AcMgTe2
_cell_length_a 5.4712
_cell_length_b 5.4712
_cell_length_c 4.0760
_cell_angle_alpha 90.00
_cell_angle_beta 90.00
_cell_angle_gamma 90.00
_symmetry_space_group_name_H-M 'P 4/m m m'
_symmetry_Int_Tables_number 123
_symmetry_space_group_name_Hall '-P 4 2'
loop_
_atom_site_label
_atom_site_fract_x
_atom_site_fract_y
_atom_site_fract_z
Ac1 0.0000 0.0000 0.0000
Mg1 0.5000 0.5000 0.0000
Te1 0.0000 0.5000 0.5000
```

=====

Model ii:
# AcMgTe2

A relaxed AcMgTe2 crystal (PBE, Alexandria).

Geometry as CIF:
```
data_AcMgTe2
_cell_length_a 4.7726
_cell_length_b 4.7726
_cell_length_c 28.0567
_cell_angle_alpha 90.00
_cell_angle_beta 90.00
_cell_angle_gamma 120.00
_symmetry_space_group_name_H-M 'R -3 m'
_symmetry_Int_Tables_number 166
_symmetry_space_group_name_Hall '-R 3 2"'
loop_
_atom_site_label
_atom_site_fract_x
_atom_site_fract_y
_atom_site_fract_z
Ac1 0.0000 0.0000 0.0000
Mg1 0.0000 0.0000 0.5000
Te1 0.0000 0.0000 0.4001
```

=====

Model iii:
# AcMgTe2

A relaxed AcMgTe2 crystal (PBE, Alexandria).

Geometry as CIF:
```
data_AcMgTe2
_cell_length_a 7.9485
_cell_length_b 7.9485
_cell_length_c 7.9485
_cell_angle_alpha 90.00
_cell_angle_beta 90.00
_cell_angle_gamma 90.00
_symmetry_space_group_name_H-M 'F m -3 m'
_symmetry_Int_Tables_number 225
_symmetry_space_group_name_Hall '-F 4 2 3'
loop_
_atom_site_label
_atom_site_fract_x
_atom_site_fract_y
_atom_site_fract_z
Ac1 0.0000 0.0000 0.0000
Mg1 0.0000 0.0000 0.5000
Te1 0.2500 0.2500 0.2500
```

=====

Model iv:
# AcMgTe2

A relaxed AcMgTe2 crystal (PBE, Alexandria).

Geometry as CIF:
```
data_AcMgTe2
_cell_length_a 4.3849
_cell_length_b 4.3849
_cell_length_c 23.3644
_cell_angle_alpha 90.00
_cell_angle_beta 90.00
_cell_angle_gamma 120.00
_symmetry_space_group_name_H-M 'R 3 m'
_symmetry_Int_Tables_number 160
_symmetry_space_group_name_Hall 'R 3 -2"'
loop_
_atom_site_label
_atom_site_fract_x
_atom_site_fract_y
_atom_site_fract_z
Ac1 0.0000 0.0000 0.0000
Mg1 0.0000 0.0000 0.8330
Te1 0.0000 0.0000 0.2377
Te2 0.0000 0.0000 0.4313
```

=====

Most stable of them? model iv.

=====

Model i:
# AcThMg

A relaxed AcThMg crystal (PBE, Alexandria).

Geometry as CIF:
```
data_AcThMg
_cell_length_a 3.8315
_cell_length_b 3.8315
_cell_length_c 13.8594
_cell_angle_alpha 90.00
_cell_angle_beta 90.00
_cell_angle_gamma 90.00
_symmetry_space_group_name_H-M 'I 4 m m'
_symmetry_Int_Tables_number 107
_symmetry_space_group_name_Hall 'I 4 -2'
loop_
_atom_site_label
_atom_site_fract_x
_atom_site_fract_y
_atom_site_fract_z
Ac1 0.0000 0.0000 0.0000
Th1 0.0000 0.0000 0.3131
Mg1 0.0000 0.0000 0.6680
```

=====

Model ii:
# AcThMg

A relaxed AcThMg crystal (PBE, Alexandria).

Geometry as CIF:
```
data_AcThMg
_cell_length_a 3.6873
_cell_length_b 3.6873
_cell_length_c 8.7402
_cell_angle_alpha 90.00
_cell_angle_beta 90.00
_cell_angle_gamma 120.00
_symmetry_space_group_name_H-M 'P 3 m 1'
_symmetry_Int_Tables_number 156
loop_
_symmetry_equiv_pos_as_xyz
'x,y,z'
'-y,x-y,z'
'-x+y,-x,z'
'-y,-x,z'
'-x+y,y,z'
'x,x-y,z'
loop_
_atom_site_label
_atom_site_fract_x
_atom_site_fract_y
_atom_site_fract_z
Ac1 0.0000 0.0000 0.0000
Th1 0.6667 0.3333 0.3474
Mg1 0.3333 0.6667 0.6592
```

=====

Most stable of them? model i.